This record from the Alexandria database describes a relaxed GaRuN2F crystal. The functional is PBE.

Properties
Formation energy (no corrections) in eV per atom: 0.243
Offset from the most stable computed form in eV/f.u.: 0.000
E_tot in eV/cell: -29.609
Symmetry: P4/mmm (123)

Structure (POSCAR):
```
GaRuN2F
1.0
-1.0377 -2.5438 2.6874
-2.0953 -1.8966 -2.6043
3.4860 -2.4783 -0.9998
Ru N Ga F
1 2 1 1
direct
0.0000 0.0000 0.0000
0.0000 0.5000 0.0000
0.5000 0.0000 0.0000
0.5000 0.5000 0.5000
0.0000 0.0000 0.5000
```

=====

This record from the Alexandria database describes a relaxed GaRuN2F crystal. The functional is PBE.

Properties
Formation energy (no corrections) in eV per atom: 1.878
Offset from the most stable computed form in eV/f.u.: 8.175
E_tot in eV/cell: -21.434
Symmetry: P4/mmm (123)

Structure (POSCAR):
```
GaRuN2F
1.0
4.0387 0.0000 0.0000
0.0000 3.7297 0.0000
0.0000 0.0000 4.0387
Ru N Ga F
1 2 1 1
direct
0.5000 0.5000 0.5000
0.0000 0.0000 0.5000
0.5000 0.0000 0.0000
0.0000 0.5000 0.0000
0.0000 0.0000 0.0000
```

=====

This record from the Alexandria database describes a relaxed GaRuNF2 crystal. The functional is PBE.

Properties
Formation energy (no corrections) in eV per atom: -0.180
Offset from the most stable computed form in eV/f.u.: 2.057
E_tot in eV/cell: -25.271
Symmetry: P4/mmm (123)

Structure (POSCAR):
```
GaRuNF2
1.0
-0.8079 3.2334 -2.0802
-3.5124 -1.4852 -0.9444
-1.5621 1.6639 3.1928
Ru N Ga F
1 1 1 2
direct
0.5000 0.5000 0.5000
0.0000 0.0000 0.5000
0.0000 0.0000 0.0000
0.0000 0.5000 0.0000
0.5000 0.0000 0.0000
```

=====

This record from the Alexandria database describes a relaxed GaRuN2F crystal. The functional is PBE.

Properties
Formation energy (no corrections) in eV per atom: 0.820
Offset from the most stable computed form in eV/f.u.: 2.884
E_tot in eV/cell: -26.725
Symmetry: P4/mmm (123)

Structure (POSCAR):
```
GaRuN2F
1.0
3.9180 0.0000 0.0000
0.0000 3.9180 0.0000
0.0000 0.0000 3.7536
Ru N Ga F
1 2 1 1
direct
0.5000 0.5000 0.5000
0.0000 0.5000 0.0000
0.5000 0.0000 0.0000
0.0000 0.0000 0.0000
0.0000 0.0000 0.5000
```

=====

Repeat the third record exactly.
This record from the Alexandria database describes a relaxed GaRuNF2 crystal. The functional is PBE.

Properties
Formation energy (no corrections) in eV per atom: -0.180
Offset from the most stable computed form in eV/f.u.: 2.057
E_tot in eV/cell: -25.271
Symmetry: P4/mmm (123)

Structure (POSCAR):
```
GaRuNF2
1.0
-0.8079 3.2334 -2.0802
-3.5124 -1.4852 -0.9444
-1.5621 1.6639 3.1928
Ru N Ga F
1 1 1 2
direct
0.5000 0.5000 0.5000
0.0000 0.0000 0.5000
0.0000 0.0000 0.0000
0.0000 0.5000 0.0000
0.5000 0.0000 0.0000
```

=====

Q: Which of these has the lowest E_tot?
A: number 1

=====

Q: offset from the most stable computed form of number 2 (GaRuN2F)?
A: 8.175 eV/f.u.